Density functional theory data (PBE) for crystalline Tl2HgAu at its relaxed geometry.

Summary:
Total magnetic moment ... 0.0000 μB/atom
V ... 29.0 Å³/atom
SG ... C2/m (12)
Raw total energy ... -8.05 eV for the cell shown
Energy above the most stable polymorph in this dataset ... 0.091 eV/atom
Energy of formation ... 66.5 meV per atom
DOS at the Fermi energy ... 1.95 states/eV/cell

a = 8.091 Å, b = 8.078 Å, c = 8.091 Å
α = 155.39°, β = 41.00°, γ = 148.05°
Positions (direct):
Tl 0.811 0.000 0.811
Tl 0.189 0.000 0.189
Au 0.000 0.000 0.000
Hg 0.500 0.000 0.500

Density functional theory data (PBE) for crystalline PaCoSn at its relaxed geometry.

Summary:
Total magnetic moment ... 0.0000 μB/atom
V ... 21.6 Å³/atom
SG ... F-43m (216)
Raw total energy ... -21.88 eV for the cell shown
Energy of formation ... -425.5 meV per atom
DOS at the Fermi energy ... 0.87 states/eV/cell

a = 4.509 Å, b = 4.509 Å, c = 4.509 Å
α = 60.00°, β = 60.00°, γ = 60.00°
Positions (direct):
Pa 0.000 0.000 0.000
Co 0.250 0.250 0.250
Sn 0.500 0.500 0.500

Density functional theory data (PBE) for crystalline ZnPtSe2 at its relaxed geometry.

Summary:
Total magnetic moment ... 0.0000 μB/atom
V ... 17.8 Å³/atom
SG ... P4/mmm (123)
Raw total energy ... -13.62 eV for the cell shown
Formation energy (no corrections) ... 165 meV/atom
DOS at the Fermi energy ... 1.32 states/eV/cell

a = 2.911 Å, b = 4.940 Å, c = 4.940 Å
α = 90.00°, β = 90.00°, γ = 90.00°
Positions (direct):
Pt 0.500 0.000 0.500
Se 0.000 0.000 0.000
Se 0.000 0.500 0.500
Zn 0.500 0.500 0.000

Density functional theory data (PBE) for crystalline SrAcZnPd at its relaxed geometry.

Summary:
Total magnetic moment ... 0.0000 μB/atom
V ... 29.7 Å³/atom
SG ... Amm2 (38)
Raw total energy ... -14.24 eV for the cell shown
Energy above the most stable polymorph in this dataset ... 0.000 eV/atom
Energy of formation ... -496.3 meV per atom
DOS at the Fermi energy ... 2.36 states/eV/cell

a = 4.349 Å, b = 4.449 Å, c = 6.510 Å
α = 90.00°, β = 109.52°, γ = 90.00°
Positions (direct):
Sr 0.142 0.000 0.284
Ac 0.864 0.500 0.728
Zn 0.566 0.500 0.131
Pd 0.428 0.000 0.857

Density functional theory data (PBE) for crystalline UPN4 at its relaxed geometry.

Summary:
Total magnetic moment ... 0.0000 μB/atom
V ... 10.9 Å³/atom
SG ... I4_1/a (88)
Raw total energy ... -104.99 eV for the cell shown
Formation energy (no corrections) ... -416 meV/atom
DOS at the Fermi energy ... 6.73 states/eV/cell

a = 4.899 Å, b = 4.898 Å, c = 6.453 Å
α = 112.31°, β = 112.32°, γ = 89.98°
Positions (direct):
U 0.375 0.625 0.250
U 0.625 0.375 0.750
P 0.875 0.125 0.250
P 0.125 0.875 0.750
N 0.297 0.947 0.594
N 0.947 0.797 0.094
N 0.203 0.353 0.406
N 0.353 0.703 0.906
N 0.703 0.053 0.406
N 0.797 0.647 0.594
N 0.053 0.203 0.906
N 0.647 0.297 0.094

Density functional theory data (PBE) for crystalline Tb3Ho5Th at its relaxed geometry.

Summary:
Total magnetic moment ... 0.0000 μB/atom
V ... 31.3 Å³/atom
SG ... P6_3/mcm (193)
Raw total energy ... -87.27 eV for the cell shown
Energy of formation ... 62.4 meV per atom
DOS at the Fermi energy ... 30.08 states/eV/cell

a = 6.963 Å, b = 9.670 Å, c = 9.670 Å
α = 120.00°, β = 90.00°, γ = 90.00°
Positions (direct):
Tb 0.750 0.334 0.000
Tb 0.750 0.666 0.666
Tb 0.750 0.000 0.334
Tb 0.250 0.666 0.000
Tb 0.250 0.334 0.334
Tb 0.250 0.000 0.666
Ho 0.000 0.333 0.667
Ho 0.500 0.667 0.333
Ho 0.000 0.667 0.333
Ho 0.500 0.333 0.667
Ho 0.750 0.668 0.000
Ho 0.750 0.332 0.332
Ho 0.750 0.000 0.668
Ho 0.250 0.332 0.000
Ho 0.250 0.668 0.668
Ho 0.250 0.000 0.332
Th 0.000 0.000 0.000
Th 0.500 0.000 0.000

Density functional theory data (PBE) for crystalline K2NiAs at its relaxed geometry.

Summary:
Total magnetic moment ... 0.0000 μB/atom
V ... 31.4 Å³/atom
SG ... Amm2 (38)
Raw total energy ... -13.62 eV for the cell shown
Energy of formation ... -248.5 meV per atom
DOS at the Fermi energy ... 1.45 states/eV/cell

a = 4.388 Å, b = 5.758 Å, c = 5.753 Å
α = 59.95°, β = 90.00°, γ = 90.00°
Positions (direct):
Ni 0.000 0.625 0.625
As 0.500 0.625 0.625
K 0.000 0.958 0.958
K 0.500 0.292 0.292

Density functional theory data (PBE) for crystalline La6Co3Au at its relaxed geometry.

Summary:
Total magnetic moment ... 0.0000 μB/atom
V ... 27.9 Å³/atom
SG ... P2_1/m (11)
Raw total energy ... -113.20 eV for the cell shown
Energy of formation ... -243.8 meV per atom
DOS at the Fermi energy ... 13.60 states/eV/cell

a = 4.066 Å, b = 11.871 Å, c = 12.497 Å
α = 112.09°, β = 90.00°, γ = 90.00°
Positions (direct):
La 0.250 0.406 0.560
La 0.750 0.594 0.440
La 0.250 0.914 0.071
La 0.750 0.086 0.929
La 0.250 0.938 0.606
La 0.750 0.062 0.394
La 0.250 0.750 0.291
La 0.750 0.250 0.709
La 0.250 0.544 0.879
La 0.750 0.456 0.121
La 0.250 0.246 0.236
La 0.750 0.754 0.764
Co 0.250 0.166 0.547
Co 0.750 0.834 0.453
Co 0.250 0.503 0.285
Co 0.750 0.497 0.715
Co 0.250 0.911 0.839
Co 0.750 0.089 0.161
Au 0.250 0.296 0.926
Au 0.750 0.704 0.074

Density functional theory data (PBE) for crystalline Al2TlSiSb at its relaxed geometry.

Summary:
Total magnetic moment ... 0.0000 μB/atom
V ... 25.8 Å³/atom
SG ... P4/mmm (123)
Raw total energy ... -17.11 eV for the cell shown
Formation energy (no corrections) ... 457 meV/atom
DOS at the Fermi energy ... 2.22 states/eV/cell

a = 4.886 Å, b = 5.405 Å, c = 4.886 Å
α = 90.00°, β = 90.00°, γ = 90.00°
Positions (direct):
Sb 0.000 0.500 0.000
Tl 0.500 0.500 0.500
Si 0.000 0.000 0.000
Al 0.000 0.000 0.500
Al 0.500 0.000 0.000

Density functional theory data (PBE) for crystalline Y2Cd2Ga at its relaxed geometry.

Summary:
Total magnetic moment ... 0.0000 μB/atom
V ... 25.0 Å³/atom
SG ... P4/mbm (127)
Raw total energy ... -38.56 eV for the cell shown
Energy above the most stable polymorph in this dataset ... 0.045 eV/atom
Energy of formation ... -298.9 meV per atom
DOS at the Fermi energy ... 8.76 states/eV/cell

a = 7.282 Å, b = 7.282 Å, c = 4.716 Å
α = 90.00°, β = 90.00°, γ = 90.00°
Positions (direct):
Y 0.170 0.670 0.500
Y 0.670 0.830 0.500
Y 0.830 0.330 0.500
Y 0.330 0.170 0.500
Ga 0.000 0.000 0.000
Ga 0.500 0.500 0.000
Cd 0.364 0.864 0.000
Cd 0.864 0.636 0.000
Cd 0.636 0.136 0.000
Cd 0.136 0.364 0.000

Density functional theory data (PBE) for crystalline Sm2ErBi2O2 at its relaxed geometry.

Summary:
Total magnetic moment ... 0.0000 μB/atom
V ... 22.7 Å³/atom
SG ... I4/mmm (139)
Raw total energy ... -44.67 eV for the cell shown
Formation energy (no corrections) ... -1856 meV/atom
DOS at the Fermi energy ... 2.91 states/eV/cell

a = 4.353 Å, b = 4.353 Å, c = 8.931 Å
α = 104.11°, β = 104.11°, γ = 90.00°
Positions (direct):
Sm 0.391 0.391 0.781
Sm 0.609 0.609 0.219
Er 0.000 0.000 0.000
Bi 0.190 0.190 0.380
Bi 0.810 0.810 0.620
O 0.000 0.500 0.000
O 0.500 0.000 0.000

Density functional theory data (PBE) for crystalline PmPr6YTm2 at its relaxed geometry.

Summary:
Total magnetic moment ... 0.0000 μB/atom
V ... 34.8 Å³/atom
SG ... C2/c (15)
Raw total energy ... -95.44 eV for the cell shown
Energy of formation ... 111.4 meV per atom
DOS at the Fermi energy ... 30.13 states/eV/cell

a = 9.782 Å, b = 9.003 Å, c = 9.003 Å
α = 117.66°, β = 94.14°, γ = 94.14°
Positions (direct):
Pm 0.250 0.408 0.592
Pm 0.750 0.592 0.408
Pr 0.054 0.112 0.761
Pr 0.446 0.239 0.888
Pr 0.946 0.888 0.239
Pr 0.554 0.761 0.112
Pr 0.315 0.987 0.437
Pr 0.185 0.563 0.013
Pr 0.685 0.013 0.563
Pr 0.815 0.437 0.987
Pr 0.120 0.705 0.492
Pr 0.380 0.508 0.295
Pr 0.880 0.295 0.508
Pr 0.620 0.492 0.705
Y 0.250 0.971 0.029
Y 0.750 0.029 0.971
Tm 0.453 0.803 0.706
Tm 0.047 0.294 0.197
Tm 0.547 0.197 0.294
Tm 0.953 0.706 0.803

Density functional theory data (PBE) for crystalline RbPbSI at its relaxed geometry.

Summary:
Total magnetic moment ... 0.0000 μB/atom
V ... 36.7 Å³/atom
SG ... R3m (160)
Raw total energy ... -13.88 eV for the cell shown
Formation energy (no corrections) ... -883 meV/atom
DOS at the Fermi energy ... 0.00 states/eV/cell

a = 4.409 Å, b = 4.410 Å, c = 9.074 Å
α = 90.00°, β = 104.07°, γ = 119.99°
Positions (direct):
Rb 0.115 0.956 0.086
Pb 0.503 0.150 0.668
S 0.280 0.538 0.833
I 0.980 0.388 0.382

Density functional theory data (PBE) for crystalline Zn8AgIr2 at its relaxed geometry.

Summary:
Total magnetic moment ... 0.0000 μB/atom
V ... 15.8 Å³/atom
SG ... P2/m (10)
Raw total energy ... -31.67 eV for the cell shown
Energy of formation ... -82.3 meV per atom
DOS at the Fermi energy ... 4.43 states/eV/cell

a = 4.265 Å, b = 7.893 Å, c = 6.448 Å
α = 52.96°, β = 90.00°, γ = 90.00°
Positions (direct):
Zn 0.000 0.029 0.277
Zn 0.000 0.307 0.726
Zn 0.500 0.336 0.000
Zn 0.500 0.742 0.504
Zn 0.500 0.258 0.496
Zn 0.500 0.664 0.000
Zn 0.000 0.693 0.274
Zn 0.000 0.971 0.723
Ag 0.500 0.000 0.000
Ir 0.000 0.371 0.253
Ir 0.000 0.629 0.747

Density functional theory data (PBE) for crystalline Hf6VOs5 at its relaxed geometry.

Summary:
Total magnetic moment ... 0.2075 μB/atom
V ... 17.4 Å³/atom
SG ... Immm (71)
Raw total energy ... -132.03 eV for the cell shown
Energy of formation ... -586.8 meV per atom
DOS at the Fermi energy ... 4.30 states/eV/cell

a = 4.621 Å, b = 6.519 Å, c = 7.999 Å
α = 114.05°, β = 106.79°, γ = 90.00°
Positions (direct):
Os 0.665 0.165 0.329
Os 0.333 0.333 0.666
Os 0.000 0.500 0.000
Os 0.667 0.667 0.334
Os 0.335 0.835 0.671
Hf 0.832 0.581 0.665
Hf 0.832 0.084 0.665
Hf 0.500 0.748 0.000
Hf 0.500 0.252 0.000
Hf 0.168 0.916 0.335
Hf 0.168 0.419 0.335
V 0.000 0.000 0.000

Density functional theory data (PBE) for crystalline BaCdInFe2 at its relaxed geometry.

Summary:
Total magnetic moment ... 1.1533 μB/atom
V ... 33.0 Å³/atom
SG ... P4/mmm (123)
Raw total energy ... -17.56 eV for the cell shown
Energy of formation ... 988.8 meV per atom
DOS at the Fermi energy ... 10.61 states/eV/cell

a = 5.079 Å, b = 6.391 Å, c = 5.079 Å
α = 90.00°, β = 90.00°, γ = 90.00°
Positions (direct):
Fe 0.000 0.000 0.500
Fe 0.500 0.000 0.000
Cd 0.500 0.500 0.500
Ba 0.000 0.500 0.000
In 0.000 0.000 0.000

Density functional theory data (PBE) for crystalline LiNp2Se4 at its relaxed geometry.

Summary:
Total magnetic moment ... 1.0000 μB/atom
V ... 27.5 Å³/atom
SG ... C2/m (12)
Raw total energy ... -49.71 eV for the cell shown
Energy above the most stable polymorph in this dataset ... 0.000 eV/atom
Formation energy (no corrections) ... -1140 meV/atom
DOS at the Fermi energy ... 18.76 states/eV/cell

a = 4.102 Å, b = 7.172 Å, c = 7.764 Å
α = 117.97°, β = 105.32°, γ = 90.00°
Positions (direct):
Li 0.000 0.000 0.000
Np 0.735 0.738 0.470
Np 0.265 0.262 0.530
Se 0.874 0.186 0.748
Se 0.126 0.814 0.252
Se 0.635 0.280 0.269
Se 0.365 0.720 0.731

Density functional theory data (PBE) for crystalline La2MnZn at its relaxed geometry.

Summary:
Total magnetic moment ... 0.6580 μB/atom
V ... 24.7 Å³/atom
SG ... I-4m2 (119)
Raw total energy ... -19.85 eV for the cell shown
Energy of formation ... 112.8 meV per atom
DOS at the Fermi energy ... 4.24 states/eV/cell

a = 5.720 Å, b = 5.720 Å, c = 5.720 Å
α = 132.89°, β = 132.89°, γ = 68.82°
Positions (direct):
La 0.000 0.000 0.000
La 0.250 0.750 0.500
Mn 0.500 0.500 0.000
Zn 0.750 0.250 0.500

Density functional theory data (PBE) for crystalline PrDySe2 at its relaxed geometry.

Summary:
Total magnetic moment ... 0.0000 μB/atom
V ... 26.0 Å³/atom
SG ... R3m (160)
Raw total energy ... -23.40 eV for the cell shown
Energy above the most stable polymorph in this dataset ... 0.041 eV/atom
Formation energy (no corrections) ... -1762 meV/atom
DOS at the Fermi energy ... 1.35 states/eV/cell

a = 4.039 Å, b = 4.039 Å, c = 7.710 Å
α = 74.82°, β = 74.82°, γ = 60.00°
Positions (direct):
Pr 0.672 0.672 0.985
Dy 0.495 0.495 0.515
Se 0.087 0.087 0.739
Se 0.246 0.246 0.261

Density functional theory data (PBE) for crystalline KScSeO5 at its relaxed geometry.

Summary:
Total magnetic moment ... 0.0000 μB/atom
V ... 15.1 Å³/atom
SG ... C2/c (15)
Raw total energy ... -100.28 eV for the cell shown
Formation energy (no corrections) ... -1805 meV/atom
DOS at the Fermi energy ... 0.00 states/eV/cell

a = 6.079 Å, b = 6.079 Å, c = 7.505 Å
α = 104.74°, β = 104.74°, γ = 105.59°
Positions (direct):
K 0.327 0.673 0.250
K 0.673 0.327 0.750
Sc 0.000 0.000 0.500
Sc 0.000 0.000 0.000
Se 0.686 0.314 0.250
Se 0.314 0.686 0.750
O 0.060 0.940 0.250
O 0.940 0.060 0.750
O 0.875 0.308 0.122
O 0.125 0.692 0.878
O 0.692 0.125 0.378
O 0.308 0.875 0.622
O 0.761 0.595 0.410
O 0.239 0.405 0.590
O 0.405 0.239 0.090
O 0.595 0.761 0.910

Density functional theory data (PBE) for crystalline SrPrErMg at its relaxed geometry.

Summary:
Total magnetic moment ... 0.0000 μB/atom
V ... 34.3 Å³/atom
SG ... F-43m (216)
Raw total energy ... -12.10 eV for the cell shown
Energy of formation ... 129.2 meV per atom
DOS at the Fermi energy ... 3.46 states/eV/cell

a = 5.790 Å, b = 5.790 Å, c = 5.790 Å
α = 60.00°, β = 60.00°, γ = 60.00°
Positions (direct):
Pr 0.250 0.250 0.250
Sr 0.750 0.750 0.750
Mg 0.000 0.000 0.000
Er 0.500 0.500 0.500

Density functional theory data (PBE) for crystalline LiCa2P at its relaxed geometry.

Summary:
Total magnetic moment ... 0.0582 μB/atom
V ... 26.9 Å³/atom
SG ... Imm2 (44)
Raw total energy ... -13.33 eV for the cell shown
Energy of formation ... -502.0 meV per atom
DOS at the Fermi energy ... 1.68 states/eV/cell

a = 6.967 Å, b = 6.967 Å, c = 6.967 Å
α = 149.33°, β = 141.14°, γ = 50.30°
Positions (direct):
Ca 0.070 0.070 0.000
Ca 0.767 0.267 0.500
Li 0.408 0.408 0.000
P 0.254 0.754 0.500

Density functional theory data (PBE) for crystalline Er2Pd3Au6 at its relaxed geometry.

Summary:
Total magnetic moment ... 0.0000 μB/atom
V ... 20.2 Å³/atom
SG ... I4/mmm (139)
Raw total energy ... -49.20 eV for the cell shown
Energy of formation ... -439.6 meV per atom
DOS at the Fermi energy ... 4.51 states/eV/cell

a = 3.935 Å, b = 3.935 Å, c = 14.617 Å
α = 97.74°, β = 97.74°, γ = 90.00°
Positions (direct):
Er 0.335 0.335 0.669
Er 0.665 0.665 0.331
Pd 0.000 0.000 0.000
Pd 0.863 0.863 0.726
Pd 0.137 0.137 0.274
Au 0.068 0.568 0.136
Au 0.568 0.068 0.136
Au 0.932 0.432 0.864
Au 0.432 0.932 0.864
Au 0.769 0.769 0.539
Au 0.231 0.231 0.461

Density functional theory data (PBE) for crystalline Dy2Ho5Er12 at its relaxed geometry.

Summary:
Total magnetic moment ... 0.0000 μB/atom
V ... 31.4 Å³/atom
SG ... C2/m (12)
Raw total energy ... -84.40 eV for the cell shown
Energy above the most stable polymorph in this dataset ... 0.005 eV/atom
Energy of formation ... 128.8 meV per atom
DOS at the Fermi energy ... 28.18 states/eV/cell

a = 9.111 Å, b = 9.010 Å, c = 8.413 Å
α = 91.06°, β = 90.00°, γ = 120.37°
Positions (direct):
Dy 0.679 0.000 0.000
Dy 0.321 0.000 0.000
Ho 0.232 0.464 0.574
Ho 0.301 0.602 0.989
Ho 0.000 0.000 0.500
Ho 0.699 0.398 0.011
Ho 0.768 0.536 0.426
Er 0.910 0.820 0.117
Er 0.027 0.691 0.757
Er 0.664 0.691 0.757
Er 0.180 0.745 0.339
Er 0.565 0.745 0.339
Er 0.443 0.886 0.667
Er 0.557 0.114 0.333
Er 0.820 0.255 0.661
Er 0.435 0.255 0.661
Er 0.973 0.309 0.243
Er 0.336 0.309 0.243
Er 0.090 0.180 0.883